This record from OQMD via LeMat-Bulk describes a relaxed structure of Ta3Ni10. The functional is GGA-PBE.

Unit cell a=9.026 b=9.026 c=9.026 alpha=30.18 beta=30.18 gamma=30.18
Element x y z (fractional)
Ta 0.000 0.000 0.000
Ni 0.092 0.581 0.092
Ni 0.164 0.164 0.164
Ni 0.092 0.092 0.581
Ni 0.836 0.836 0.836
Ni 0.347 0.347 0.347
Ni 0.908 0.419 0.908
Ta 0.551 0.551 0.551
Ni 0.653 0.653 0.653
Ta 0.449 0.449 0.449
Ni 0.581 0.092 0.092
Ni 0.419 0.908 0.908
Ni 0.908 0.908 0.419

Results
ΔE_f (kJ per mole of atoms): -12.8
Energy above the lowest structure with this stoichiometry (meV per atom): 0.0
Symmetry: R-3m (166)
Volume (Å³/atom): 12.67
E (eV/atom): -7.151

=====

This record from OQMD via LeMat-Bulk describes a relaxed structure of Ta3Ni7. The functional is GGA-PBE.

Unit cell a=6.349 b=6.451 c=7.458 alpha=103.10 beta=104.44 gamma=112.81
Element x y z (fractional)
Ni 0.764 0.061 0.209
Ni 0.105 0.385 0.562
Ni 0.729 0.181 0.901
Ta 0.841 0.969 0.623
Ni 0.180 0.368 0.907
Ni 0.895 0.615 0.438
Ta 0.492 0.273 0.139
Ni 0.500 0.500 0.500
Ta 0.105 0.450 0.227
Ni 0.384 0.826 0.540
Ta 0.508 0.727 0.861
Ni 0.236 0.939 0.791
Ni 0.447 0.301 0.738
Ni 0.000 0.000 0.000
Ta 0.895 0.550 0.773
Ni 0.271 0.819 0.099
Ni 0.616 0.174 0.460
Ni 0.553 0.699 0.262
Ni 0.820 0.632 0.093
Ta 0.159 0.031 0.377

Results
ΔE_f (kJ per mole of atoms): -31.5
Symmetry: P-1 (2)
Volume (Å³/atom): 12.71
E (eV/atom): -7.779

=====

This record from OQMD via LeMat-Bulk describes a relaxed structure of Ta7Ni5. The functional is GGA-PBE.

Unit cell a=5.110 b=5.110 c=16.141 alpha=90.00 beta=90.00 gamma=120.00
Element x y z (fractional)
Ni 0.667 0.333 0.867
Ni 0.321 0.160 0.750
Ta 0.667 0.333 0.337
Ni 0.840 0.679 0.750
Ta 0.000 0.500 0.500
Ta 0.000 0.000 0.107
Ta 0.000 0.000 0.393
Ni 0.840 0.160 0.750
Ni 0.333 0.667 0.367
Ta 0.000 0.000 0.607
Ta 0.500 0.500 0.500
Ta 0.000 0.500 0.000
Ta 0.000 0.000 0.893
Ni 0.160 0.840 0.250
Ni 0.160 0.321 0.250
Ta 0.333 0.667 0.837
Ni 0.333 0.667 0.133
Ta 0.500 0.000 0.500
Ni 0.679 0.840 0.250
Ta 0.500 0.000 0.000
Ta 0.333 0.667 0.663
Ta 0.667 0.333 0.163
Ni 0.667 0.333 0.633
Ta 0.500 0.500 0.000

Results
ΔE_f (kJ per mole of atoms): -1.5
Energy above the lowest structure with this stoichiometry (meV per atom): 0.0
Symmetry: P6_3/mmc (194)
Volume (Å³/atom): 15.21
E (eV/atom): -9.249

=====

This record from OQMD via LeMat-Bulk describes a relaxed structure of TaNi5. The functional is GGA-PBE.

Unit cell a=4.635 b=4.635 c=8.029 alpha=90.00 beta=90.00 gamma=120.00
Element x y z (fractional)
Ni 0.173 0.827 0.750
Ni 0.827 0.173 0.250
Ni 0.667 0.333 0.924
Ni 0.346 0.173 0.250
Ta 0.000 0.000 0.000
Ni 0.173 0.346 0.750
Ta 0.000 0.000 0.500
Ni 0.827 0.654 0.250
Ni 0.667 0.333 0.576
Ni 0.333 0.667 0.076
Ni 0.333 0.667 0.424
Ni 0.654 0.827 0.750

Results
ΔE_f (kJ per mole of atoms): -2.3
Symmetry: P6_3/mmc (194)
Volume (Å³/atom): 12.45
E (eV/atom): -6.639

=====

This record from OQMD via LeMat-Bulk describes a relaxed structure of Ta4Ni9. The functional is GGA-PBE.

Unit cell a=9.083 b=9.083 c=9.083 alpha=30.22 beta=30.22 gamma=30.22
Element x y z (fractional)
Ni 0.000 0.000 0.000
Ni 0.090 0.589 0.090
Ni 0.832 0.832 0.832
Ni 0.168 0.168 0.168
Ta 0.654 0.654 0.654
Ni 0.910 0.910 0.411
Ta 0.452 0.452 0.452
Ni 0.589 0.090 0.090
Ni 0.411 0.910 0.910
Ta 0.346 0.346 0.346
Ni 0.910 0.411 0.910
Ni 0.090 0.090 0.589
Ta 0.548 0.548 0.548

Results
ΔE_f (kJ per mole of atoms): -13.4
Energy above the lowest structure with this stoichiometry (meV per atom): 95.1
Symmetry: R-3m (166)
Volume (Å³/atom): 12.94
E (eV/atom): -7.640

=====

This record from OQMD via LeMat-Bulk describes a relaxed structure of Ta2Ni11. The functional is GGA-PBE.

Unit cell a=8.668 b=8.668 c=8.668 alpha=31.41 beta=31.41 gamma=31.41
Element x y z (fractional)
Ni 0.351 0.351 0.351
Ta 0.835 0.835 0.835
Ni 0.452 0.452 0.452
Ni 0.586 0.092 0.092
Ni 0.908 0.908 0.414
Ni 0.649 0.649 0.649
Ni 0.548 0.548 0.548
Ta 0.165 0.165 0.165
Ni 0.414 0.908 0.908
Ni 0.092 0.586 0.092
Ni 0.000 0.000 0.000
Ni 0.092 0.092 0.586
Ni 0.908 0.414 0.908

Results
ΔE_f (kJ per mole of atoms): 3.0
Energy above the lowest structure with this stoichiometry (meV per atom): 102.9
Symmetry: R-3m (166)
Volume (Å³/atom): 12.08
E (eV/atom): -6.503

=====

This record from OQMD via LeMat-Bulk describes a relaxed structure of Ta2Ni11. The functional is GGA-PBE.

Unit cell a=8.763 b=8.763 c=8.763 alpha=30.85 beta=30.85 gamma=30.85
Element x y z (fractional)
Ta 0.553 0.553 0.553
Ta 0.447 0.447 0.447
Ni 0.346 0.346 0.346
Ni 0.092 0.092 0.588
Ni 0.412 0.908 0.908
Ni 0.834 0.834 0.834
Ni 0.654 0.654 0.654
Ni 0.908 0.412 0.908
Ni 0.092 0.588 0.092
Ni 0.588 0.092 0.092
Ni 0.166 0.166 0.166
Ni 0.000 0.000 0.000
Ni 0.908 0.908 0.412

Results
ΔE_f (kJ per mole of atoms): -2.6
Energy above the lowest structure with this stoichiometry (meV per atom): 44.8
Symmetry: R-3m (166)
Volume (Å³/atom): 12.07
E (eV/atom): -6.561

=====

This record from OQMD via LeMat-Bulk describes a relaxed structure of TaNi5. The functional is GGA-PBE.

Unit cell a=4.664 b=4.664 c=15.954 alpha=90.00 beta=90.00 gamma=120.00
Element x y z (fractional)
Ni 0.000 0.000 0.413
Ni 0.000 0.000 0.587
Ni 0.500 0.000 0.500
Ni 0.667 0.333 0.151
Ni 0.841 0.682 0.750
Ni 0.682 0.841 0.250
Ta 0.667 0.333 0.872
Ni 0.841 0.159 0.750
Ni 0.159 0.841 0.250
Ni 0.333 0.667 0.651
Ni 0.000 0.000 0.913
Ni 0.500 0.000 0.000
Ni 0.500 0.500 0.000
Ni 0.318 0.159 0.750
Ni 0.159 0.318 0.250
Ni 0.500 0.500 0.500
Ta 0.333 0.667 0.372
Ni 0.000 0.500 0.000
Ni 0.333 0.667 0.849
Ni 0.000 0.500 0.500
Ni 0.000 0.000 0.087
Ta 0.333 0.667 0.128
Ta 0.667 0.333 0.628
Ni 0.667 0.333 0.349

Results
ΔE_f (kJ per mole of atoms): 0.3
Symmetry: P6_3/mmc (194)
Volume (Å³/atom): 12.52
E (eV/atom): -6.612

=====

This record from OQMD via LeMat-Bulk describes a relaxed structure of TbTaNi. The functional is GGA-PBE.

Unit cell a=4.453 b=4.453 c=4.453 alpha=60.00 beta=60.00 gamma=60.00
Element x y z (fractional)
Ta 0.250 0.250 0.250
Ni 0.000 0.000 0.000
Tb 0.750 0.750 0.750

Results
ΔE_f (kJ per mole of atoms): 38.8
Symmetry: F-43m (216)
Volume (Å³/atom): 20.82
E (eV/atom): -6.948

=====

This record from OQMD via LeMat-Bulk describes a relaxed structure of TaNiTe2. The functional is GGA-PBE.

Unit cell a=4.863 b=4.863 c=4.863 alpha=60.00 beta=60.00 gamma=60.00
Element x y z (fractional)
Te 0.250 0.250 0.250
Ta 0.500 0.500 0.500
Ni 0.750 0.750 0.750
Te 0.000 0.000 0.000

Results
Energy above the lowest structure with this stoichiometry (meV per atom): 1094.5
Symmetry: F-43m (216)
Volume (Å³/atom): 20.33
E (eV/atom): -5.221

=====

This record from OQMD via LeMat-Bulk describes a relaxed structure of TaNiTe2. The functional is GGA-PBE.

Unit cell a=8.658 b=6.269 c=7.963 alpha=90.00 beta=116.93 gamma=90.00
Element x y z (fractional)
Ni 0.389 0.855 0.944
Ni 0.611 0.145 0.056
Ta 0.491 0.010 0.700
Ta 0.509 0.510 0.800
Ta 0.509 0.990 0.300
Te 0.803 0.250 0.901
Ni 0.611 0.355 0.556
Te 0.715 0.752 0.622
Te 0.197 0.750 0.599
Te 0.803 0.250 0.401
Ni 0.389 0.645 0.444
Ta 0.491 0.490 0.200
Te 0.715 0.748 0.122
Te 0.285 0.252 0.878
Te 0.197 0.750 0.099
Te 0.285 0.248 0.378

Results
Energy above the lowest structure with this stoichiometry (meV per atom): 0.0
Symmetry: P2_1/c (14)
Volume (Å³/atom): 24.08
E (eV/atom): -6.316

=====

This record from OQMD via LeMat-Bulk describes a relaxed structure of TaTlNiTe3. The functional is GGA-PBE.

Unit cell a=8.470 b=8.470 c=10.212 alpha=90.00 beta=90.00 gamma=154.47
Element x y z (fractional)
Ni 0.027 0.973 0.250
Ni 0.973 0.027 0.750
Te 0.878 0.122 0.941
Te 0.575 0.425 0.750
Te 0.122 0.878 0.059
Ta 0.500 0.500 0.500
Te 0.878 0.122 0.559
Tl 0.750 0.250 0.250
Te 0.122 0.878 0.441
Ta 0.500 0.500 0.000
Te 0.425 0.575 0.250
Tl 0.250 0.750 0.750

Results
Symmetry: Cmcm (63)
Volume (Å³/atom): 26.31
E (eV/atom): -5.126